Computed, not measured: Sr2LaTiAg at its PBEsol-relaxed geometry at the meta-GGA SCAN level of DFT.

Values from the calculation:
- E (eV/atom) = -26.547
- energy of formation from the pure elements (eV/atom) = 0.464

Structure (CIF):
```
data_Sr2LaTiAg
_cell_length_a 5.8381
_cell_length_b 5.8381
_cell_length_c 5.7913
_cell_angle_alpha 90.00
_cell_angle_beta 90.00
_cell_angle_gamma 90.00
_symmetry_space_group_name_H-M 'P 4/m m m'
_symmetry_Int_Tables_number 123
_symmetry_space_group_name_Hall '-P 4 2'
loop_
_atom_site_label
_atom_site_type_symbol
_atom_site_fract_x
_atom_site_fract_y
_atom_site_fract_z
Sr1 Sr 0.0000 0.5000 0.0000
La1 La 0.0000 0.0000 0.5000
Ti1 Ti 0.5000 0.5000 0.5000
Ag1 Ag 0.0000 0.0000 0.0000
```